(1)
VASP calculation (PBE-GGA) on an optimized crystal structure of Ba2ZrBe.

Cell lengths 6.2302, 6.2302, 6.2302 Å; angles 133.78, 133.78, 67.43 degrees
Fractional positions:
Ba1 0.2500 0.7500 0.5000
Ba2 0.7500 0.2500 0.5000
Zr1 0.0000 0.0000 0.0000
Be1 0.5000 0.5000 0.0000

## Properties
The value obtained for the formation enthalpy at 0 K is 0.89 eV/atom. As for the energy: -3.142 eV/atom.

***

(2)
VASP calculation (PBE-GGA) on an optimized crystal structure of BaZrBe2.

Cell lengths 5.0974, 5.0974, 3.2189 Å; angles 90.00, 90.00, 90.00 degrees
Fractional positions:
Ba1 0.0000 0.0000 0.0000
Zr1 0.5000 0.5000 0.0000
Be1 0.0000 0.5000 0.5000
Be2 0.5000 0.0000 0.5000

## Properties
The value obtained for the formation enthalpy at 0 K is 0.66 eV/atom. As for the energy: -3.824 eV/atom.

***

(3)
VASP calculation (PBE-GGA) on an optimized crystal structure of Ba2ZrBe.

Cell lengths 5.9080, 5.9080, 3.7259 Å; angles 90.00, 90.00, 90.15 degrees
Fractional positions:
Ba1 0.0000 0.5000 0.0000
Ba2 0.5000 0.0000 0.0000
Zr1 0.0000 0.0000 0.5000
Be1 0.5000 0.5000 0.5000

## Properties
The value obtained for the formation enthalpy at 0 K is 0.83 eV/atom. As for the energy: -3.201 eV/atom.

***

(4)
VASP calculation (PBE-GGA) on an optimized crystal structure of BaZrBe2.

Cell lengths 4.0166, 4.0166, 7.0047 Å; angles 106.59, 106.59, 59.97 degrees
Fractional positions:
Ba1 0.0000 0.0000 0.0000
Zr1 0.8126 0.8126 0.4385
Be1 0.2038 0.2038 0.6130
Be2 0.5368 0.5368 0.6117

## Properties
The value obtained for the formation enthalpy at 0 K is 0.25 eV/atom. As for the energy: -4.228 eV/atom.

***

(5)
VASP calculation (PBE-GGA) on an optimized crystal structure of BaZrBe2.

Cell lengths 8.7294, 8.7294, 8.7294 Å; angles 23.32, 23.32, 23.32 degrees
Fractional positions:
Ba1 0.0000 0.0000 0.0000
Zr1 0.5000 0.5000 0.5000
Be1 0.2341 0.2341 0.2341
Be2 0.7659 0.7659 0.7659

## Properties
The value obtained for the formation enthalpy at 0 K is 0.73 eV/atom. As for the energy: -3.751 eV/atom.

***

(6)
VASP calculation (PBE-GGA) on an optimized crystal structure of Ba3ZrBe.

Cell lengths 6.1561, 6.1561, 6.1561 Å; angles 90.00, 90.00, 90.00 degrees
Fractional positions:
Ba1 0.0000 0.0000 0.5000
Ba2 0.0000 0.5000 0.0000
Ba3 0.5000 0.0000 0.0000
Zr1 0.5000 0.5000 0.5000
Be1 0.0000 0.0000 0.0000

## Properties
The value obtained for the formation enthalpy at 0 K is 0.90 eV/atom. As for the energy: -2.712 eV/atom.

***

(7)
VASP calculation (PBE-GGA) on an optimized crystal structure of BaZrBe2.

Cell lengths 3.4474, 3.5046, 7.1656 Å; angles 90.00, 90.00, 90.00 degrees
Fractional positions:
Ba1 0.0000 0.0000 0.0000
Zr1 0.0000 0.0000 0.5000
Be1 0.5000 0.5000 0.3416
Be2 0.5000 0.5000 0.6584

## Properties
The value obtained for the formation enthalpy at 0 K is 0.29 eV/atom. As for the energy: -4.186 eV/atom.

***

(8)
VASP calculation (PBE-GGA) on an optimized crystal structure of BaZr2Be.

Cell lengths 5.1942, 5.1942, 5.1942 Å; angles 60.00, 60.00, 60.00 degrees
Fractional positions:
Ba1 0.0000 0.0000 0.0000
Zr1 0.5000 0.5000 0.5000
Zr2 0.7500 0.7500 0.7500
Be1 0.2500 0.2500 0.2500

## Properties
The value obtained for the formation enthalpy at 0 K is 0.78 eV/atom. As for the energy: -4.910 eV/atom.

***

(9)
VASP calculation (PBE-GGA) on an optimized crystal structure of Ba2ZrBe.

Cell lengths 3.7375, 3.7375, 9.3353 Å; angles 90.00, 90.00, 90.00 degrees
Fractional positions:
Ba1 0.0000 0.0000 0.2160
Ba2 0.0000 0.0000 0.7840
Zr1 0.5000 0.5000 0.5000
Be1 0.5000 0.5000 0.0000

## Properties
The value obtained for the formation enthalpy at 0 K is 0.75 eV/atom. As for the energy: -3.280 eV/atom.

***

(10)
VASP calculation (PBE-GGA) on an optimized crystal structure of BaZr2Be.

Cell lengths 10.1949, 10.1949, 10.1949 Å; angles 150.47, 150.47, 42.25 degrees
Fractional positions:
Ba1 0.0000 0.0000 0.0000
Ba2 0.7500 0.2500 0.5000
Zr1 0.3424 0.6250 0.2174
Zr2 0.3750 0.5924 0.7174
Zr3 0.4076 0.1250 0.7826
Zr4 0.8750 0.6576 0.2826
Be1 0.2500 0.7500 0.5000
Be2 0.5000 0.5000 0.0000

## Properties
The value obtained for the formation enthalpy at 0 K is 1.00 eV/atom. As for the energy: -4.688 eV/atom.

***

(11)
VASP calculation (PBE-GGA) on an optimized crystal structure of Ba4ZrBe.

Cell lengths 7.1717, 7.1717, 7.1717 Å; angles 60.00, 60.00, 60.00 degrees
Fractional positions:
Ba1 0.1250 0.1250 0.1250
Ba2 0.1250 0.1250 0.6251
Ba3 0.1250 0.6251 0.1250
Ba4 0.6251 0.1250 0.1250
Zr1 0.5000 0.5000 0.5000
Be1 0.7500 0.7500 0.7500

## Properties
The value obtained for the formation enthalpy at 0 K is 1.15 eV/atom. As for the energy: -2.182 eV/atom.

***

(12)
VASP calculation (PBE-GGA) on an optimized crystal structure of BaZr2Be.

Cell lengths 5.5482, 5.5482, 5.5482 Å; angles 131.14, 131.14, 71.59 degrees
Fractional positions:
Ba1 0.0000 0.0000 0.0000
Zr1 0.5000 0.5000 0.0000
Zr2 0.7500 0.2500 0.5000
Be1 0.2500 0.7500 0.5000

## Properties
The value obtained for the formation enthalpy at 0 K is 0.75 eV/atom. As for the energy: -4.940 eV/atom.